Material: LaPtNO2
Method: DFT, PBE
State: relaxed

Lattice parameters (Å, degrees): 4.1594 4.1594 3.8925 90.00 90.00 90.00
Closest atoms and distances in Å follow each position.
Sites, in units of the cell vectors:
1 N 0.0000 0.0000 0.5000  2 Pt 1.95
2 O 0.0000 0.5000 0.0000  2 Pt 2.08
3 O 0.5000 0.0000 0.0000  2 Pt 2.08
4 Pt 0.0000 0.0000 0.0000  2 N 1.95, 4 O 2.08
5 La 0.5000 0.5000 0.5000  8 O 2.85, 4 N 2.94

Summary:
crystal system = tetragonal
E_form (uncorrected) = -1.0232 eV/atom